AlC after structural relaxation. Source: the Alexandria database, functional PBE.

The formation energy is 0.27 eV/atom. The energy is -6.2086 eV per atom. The mass density comes out at 2.10 g cm⁻³. The value obtained for the energy above the most stable polymorph in this dataset is 50 meV per atom.

The space group is P6_3/mmc (No. 194) and the conventional cell measures 2.5631, 2.5631 and 21.6404 Å, with angles of 90.00, 90.00 and 120.00 degrees. The inequivalent atoms are Al at (0.3333, 0.6667, 0.0577), C at (0.0000, 0.0000, 0.2500) and C at (0.3333, 0.6667, 0.7500).